Ca2Al2FeSi3HO13 PBE with a Hubbard U optimized geometry; DFT total energy = -7.30 eV per atom; magnetic moment = 4.97 μB/f.u.
1.0
9.014 0.000 0.000
0.000 5.710 0.000
-4.396 0.000 9.263
Ca Al Fe Si H O
4 4 2 6 2 26
Cartesian
-0.894 1.427 3.933 Ca
1.626 1.427 1.399 Ca
2.991 4.282 7.865 Ca
5.511 4.282 5.331 Ca
4.507 0.000 0.000 Al
2.309 0.000 4.632 Al
4.507 2.855 0.000 Al
2.309 2.855 4.632 Al
-1.559 1.427 7.192 Fe
6.176 4.282 2.071 Fe
-2.734 4.282 8.818 Si
0.469 4.282 2.543 Si
-0.144 4.282 6.308 Si
4.762 1.427 2.955 Si
4.148 1.427 6.720 Si
7.352 1.427 0.445 Si
1.039 1.427 6.242 H
3.579 4.282 3.022 H
-0.672 1.427 1.688 O
-1.107 4.282 2.879 O
0.701 4.282 0.905 O
-1.059 2.961 5.956 O
-1.059 5.603 5.956 O
-1.813 2.891 8.895 O
-1.813 5.673 8.895 O
1.189 2.934 3.131 O
1.189 5.631 3.131 O
1.246 1.427 5.278 O
1.295 4.282 5.480 O
0.212 1.427 8.074 O
0.373 4.282 7.912 O
4.244 1.427 1.351 O
4.405 4.282 1.190 O
3.322 1.427 3.783 O
3.371 4.282 3.986 O
3.428 0.079 6.132 O
3.428 2.776 6.132 O
6.430 0.036 0.368 O
6.430 2.818 0.368 O
5.676 0.106 3.308 O
5.676 2.748 3.308 O
3.916 1.427 8.358 O
5.725 1.427 6.384 O
5.289 4.282 7.576 O